Entry 1:
Compound: NaSmSnCl6
Source: Alexandria
Functional: GGA-PBE
Structure: relaxed

Calculated values
Formation energy without anion corrections (eV per formula unit): -15.6

Cell lengths 7.059, 7.059, 12.426 Å; angles 90.00, 90.00, 120.00 degrees
Positions (direct):
Na 0.333 0.667 0.250
Na 0.667 0.333 0.750
Sm 0.333 0.667 0.750
Sm 0.667 0.333 0.250
Sn 0.000 0.000 0.000
Sn 0.000 0.000 0.500
Cl 0.013 0.348 0.628
Cl 0.013 0.665 0.872
Cl 0.335 0.348 0.872
Cl 0.335 0.987 0.628
Cl 0.348 0.013 0.128
Cl 0.348 0.335 0.372
Cl 0.652 0.665 0.628
Cl 0.652 0.987 0.872
Cl 0.665 0.013 0.372
Cl 0.665 0.652 0.128
Cl 0.987 0.335 0.128
Cl 0.987 0.652 0.372

Entry 2:
Compound: NaSmSn2Cl8
Source: Alexandria
Functional: GGA-PBE
Structure: relaxed

Calculated values
Formation energy without anion corrections (eV per formula unit): -18.6

Cell lengths 6.533, 6.760, 8.497 Å; angles 89.98, 89.97, 88.89 degrees
Positions (direct):
Na 0.000 0.000 0.000
Sm 0.000 0.000 0.500
Sn 0.500 0.500 0.242
Sn 0.500 0.500 0.758
Cl 0.222 0.836 0.259
Cl 0.223 0.837 0.741
Cl 0.250 0.317 0.499
Cl 0.283 0.336 0.001
Cl 0.717 0.664 0.999
Cl 0.750 0.683 0.501
Cl 0.777 0.163 0.259
Cl 0.778 0.164 0.741

Entry 3:
Compound: NaSrSmCl6
Source: Alexandria
Functional: GGA-PBE
Structure: relaxed

Calculated values
Formation energy without anion corrections (eV per formula unit): -20.1

Cell lengths 7.087, 7.087, 12.665 Å; angles 90.00, 90.00, 120.00 degrees
Positions (direct):
Na 0.333 0.667 0.250
Na 0.667 0.333 0.750
Sr 0.000 0.000 0.000
Sr 0.000 0.000 0.500
Sm 0.333 0.667 0.750
Sm 0.667 0.333 0.250
Cl 0.013 0.351 0.630
Cl 0.013 0.662 0.870
Cl 0.338 0.351 0.870
Cl 0.338 0.987 0.630
Cl 0.351 0.013 0.130
Cl 0.351 0.338 0.370
Cl 0.649 0.662 0.630
Cl 0.649 0.987 0.870
Cl 0.662 0.013 0.370
Cl 0.662 0.649 0.130
Cl 0.987 0.338 0.130
Cl 0.987 0.649 0.370

Entry 4:
Compound: Na2SmTlCl6
Source: Alexandria
Functional: GGA-PBE
Structure: relaxed

Calculated values
Formation energy without anion corrections (eV per formula unit): -18.4

Cell lengths 7.828, 7.828, 7.828 Å; angles 55.48, 55.48, 55.48 degrees
Positions (direct):
Na 0.000 0.000 0.000
Na 0.487 0.487 0.487
Sm 0.684 0.684 0.684
Tl 0.203 0.203 0.203
Cl 0.072 0.421 0.761
Cl 0.287 0.848 0.646
Cl 0.421 0.761 0.072
Cl 0.646 0.287 0.848
Cl 0.761 0.072 0.421
Cl 0.848 0.646 0.287

Entry 5:
Compound: Na2SnCl
Source: Alexandria
Functional: GGA-PBE
Structure: relaxed

Calculated values
Formation energy without anion corrections (eV per formula unit): -3.5
E above lowest polymorph (meV/atom): 0.0

Cell lengths 3.352, 3.352, 8.537 Å; angles 90.00, 90.00, 90.00 degrees
Positions (direct):
Na 0.000 0.000 0.201
Na 0.000 0.000 0.799
Sn 0.500 0.500 0.500
Cl 0.500 0.500 0.000

Entry 6:
Compound: NaSn2Cl6
Source: Alexandria
Functional: GGA-PBE
Structure: relaxed

Calculated values
Formation energy without anion corrections (eV per formula unit): -10.0
E above lowest polymorph (meV/atom): 0.0

Cell lengths 6.556, 6.556, 12.503 Å; angles 90.00, 90.00, 90.00 degrees
Positions (direct):
Na 0.000 0.000 0.000
Na 0.500 0.500 0.500
Sn 0.000 0.000 0.332
Sn 0.000 0.000 0.668
Sn 0.500 0.500 0.168
Sn 0.500 0.500 0.832
Cl 0.192 0.192 0.500
Cl 0.205 0.205 0.175
Cl 0.205 0.205 0.825
Cl 0.295 0.705 0.325
Cl 0.295 0.705 0.675
Cl 0.308 0.692 0.000
Cl 0.692 0.308 0.000
Cl 0.705 0.295 0.325
Cl 0.705 0.295 0.675
Cl 0.795 0.795 0.175
Cl 0.795 0.795 0.825
Cl 0.808 0.808 0.500

Entry 7:
Compound: NaSn2Cl
Source: Alexandria
Functional: GGA-PBE
Structure: relaxed

Calculated values
Formation energy without anion corrections (eV per formula unit): -2.1
E above lowest polymorph (meV/atom): 0.0

Cell lengths 15.332, 15.332, 15.332 Å; angles 164.57, 164.57, 21.89 degrees
Positions (direct):
Na 0.000 0.000 0.000
Na 0.750 0.250 0.500
Sn 0.122 0.625 0.997
Sn 0.375 0.372 0.497
Sn 0.628 0.125 0.003
Sn 0.875 0.878 0.503
Cl 0.250 0.750 0.500
Cl 0.500 0.500 0.000

Entry 8:
Compound: Na2SnCl
Source: Alexandria
Functional: GGA-PBE
Structure: relaxed

Calculated values
Formation energy without anion corrections (eV per formula unit): -1.3
E above lowest polymorph (meV/atom): 555.5

Cell lengths 5.432, 5.432, 5.432 Å; angles 60.00, 60.00, 60.00 degrees
Positions (direct):
Na 0.250 0.250 0.250
Na 0.750 0.750 0.750
Sn 0.000 0.000 0.000
Cl 0.500 0.500 0.500

Entry 9:
Compound: Na2Sn2Cl7
Source: Alexandria
Functional: GGA-PBE
Structure: relaxed

Calculated values
Formation energy without anion corrections (eV per formula unit): -13.2
E above lowest polymorph (meV/atom): 3.8

Cell lengths 7.318, 7.318, 7.697 Å; angles 91.74, 91.74, 105.14 degrees
Positions (direct):
Na 0.185 0.815 0.000
Na 0.815 0.185 0.000
Sn 0.226 0.226 0.623
Sn 0.774 0.774 0.377
Cl 0.054 0.054 0.255
Cl 0.106 0.446 0.823
Cl 0.446 0.106 0.823
Cl 0.500 0.500 0.500
Cl 0.554 0.894 0.177
Cl 0.894 0.554 0.177
Cl 0.946 0.946 0.745

Entry 10:
Compound: Na3SnCl
Source: Alexandria
Functional: GGA-PBE
Structure: relaxed

Calculated values
Formation energy without anion corrections (eV per formula unit): -3.0
E above lowest polymorph (meV/atom): 0.0

Cell lengths 5.280, 5.280, 5.280 Å; angles 90.00, 90.00, 90.00 degrees
Positions (direct):
Na 0.000 0.000 0.500
Na 0.000 0.500 0.000
Na 0.500 0.000 0.000
Sn 0.500 0.500 0.500
Cl 0.000 0.000 0.000

Entry 11:
Compound: Na2Sn2Cl
Source: Alexandria
Functional: GGA-PBE
Structure: relaxed

Calculated values
Formation energy without anion corrections (eV per formula unit): -1.5
E above lowest polymorph (meV/atom): 0.0

Cell lengths 9.101, 9.101, 3.524 Å; angles 90.00, 90.00, 90.00 degrees
Positions (direct):
Na 0.195 0.305 0.000
Na 0.305 0.805 0.000
Na 0.695 0.195 0.000
Na 0.805 0.695 0.000
Sn 0.108 0.608 0.500
Sn 0.392 0.108 0.500
Sn 0.608 0.892 0.500
Sn 0.892 0.392 0.500
Cl 0.000 0.000 0.000
Cl 0.500 0.500 0.000

Entry 12:
Compound: NaSn2Cl6
Source: Alexandria
Functional: GGA-PBE
Structure: relaxed

Calculated values
Formation energy without anion corrections (eV per formula unit): -9.8
E above lowest polymorph (meV/atom): 20.2

Cell lengths 6.948, 6.948, 9.456 Å; angles 113.83, 113.83, 44.44 degrees
Positions (direct):
Na 0.000 0.000 0.000
Sn 0.186 0.186 0.649
Sn 0.814 0.814 0.351
Cl 0.015 0.015 0.713
Cl 0.310 0.310 0.397
Cl 0.348 0.348 0.920
Cl 0.652 0.652 0.080
Cl 0.690 0.690 0.603
Cl 0.985 0.985 0.287

Entry 13:
Compound: Na3Sn6Cl14
Source: Alexandria
Functional: GGA-PBE
Structure: relaxed

Calculated values
Formation energy without anion corrections (eV per formula unit): -25.4

Cell lengths 10.490, 10.490, 7.295 Å; angles 90.00, 90.00, 120.00 degrees
Positions (direct):
Na 0.000 0.000 0.000
Na 0.333 0.667 0.150
Na 0.667 0.333 0.448
Sn 0.060 0.278 0.457
Sn 0.218 0.940 0.457
Sn 0.507 0.023 0.949
Sn 0.516 0.493 0.949
Sn 0.722 0.782 0.457
Sn 0.977 0.484 0.949
Cl 0.000 0.000 0.627
Cl 0.058 0.529 0.311
Cl 0.200 0.422 0.908
Cl 0.221 0.800 0.908
Cl 0.250 0.126 0.209
Cl 0.410 0.164 0.653
Cl 0.471 0.529 0.311
Cl 0.471 0.942 0.311
Cl 0.578 0.779 0.908
Cl 0.667 0.333 0.076
Cl 0.754 0.590 0.653
Cl 0.836 0.246 0.653
Cl 0.874 0.124 0.209
Cl 0.876 0.750 0.209

Entry 14:
Compound: Na4SnCl6
Source: Alexandria
Functional: GGA-PBE
Structure: relaxed

Calculated values
Formation energy without anion corrections (eV per formula unit): -17.3

Cell lengths 6.947, 6.947, 20.413 Å; angles 90.00, 90.00, 146.69 degrees
Positions (direct):
Na 0.098 0.902 0.625
Na 0.098 0.902 0.875
Na 0.361 0.639 0.540
Na 0.361 0.639 0.960
Na 0.639 0.361 0.040
Na 0.639 0.361 0.460
Na 0.902 0.098 0.125
Na 0.902 0.098 0.375
Sn 0.152 0.848 0.250
Sn 0.848 0.152 0.750
Cl 0.000 0.000 0.000
Cl 0.000 0.000 0.500
Cl 0.196 0.804 0.750
Cl 0.271 0.729 0.086
Cl 0.271 0.729 0.414
Cl 0.451 0.549 0.665
Cl 0.451 0.549 0.835
Cl 0.549 0.451 0.165
Cl 0.549 0.451 0.335
Cl 0.729 0.271 0.586
Cl 0.729 0.271 0.914
Cl 0.804 0.196 0.250

Entry 15:
Compound: Na2SnCl
Source: Alexandria
Functional: GGA-PBE
Structure: relaxed

Calculated values
Formation energy without anion corrections (eV per formula unit): -3.4
E above lowest polymorph (meV/atom): 21.4

Cell lengths 9.107, 9.107, 9.107 Å; angles 23.08, 23.08, 23.08 degrees
Positions (direct):
Na 0.233 0.233 0.233
Na 0.767 0.767 0.767
Sn 0.000 0.000 0.000
Cl 0.500 0.500 0.500

Entry 16:
Compound: Na6SnCl8
Source: Alexandria
Functional: GGA-PBE
Structure: relaxed

Calculated values
Formation energy without anion corrections (eV per formula unit): -24.5

Cell lengths 8.133, 8.133, 8.133 Å; angles 60.00, 60.00, 60.00 degrees
Positions (direct):
Na 0.000 0.000 0.500
Na 0.000 0.500 0.000
Na 0.000 0.500 0.500
Na 0.500 0.000 0.000
Na 0.500 0.000 0.500
Na 0.500 0.500 0.000
Sn 0.000 0.000 0.000
Cl 0.247 0.247 0.753
Cl 0.247 0.753 0.247
Cl 0.247 0.753 0.753
Cl 0.250 0.250 0.250
Cl 0.750 0.750 0.750
Cl 0.753 0.247 0.247
Cl 0.753 0.247 0.753
Cl 0.753 0.753 0.247

Entry 17:
Compound: NaSnCl5
Source: Alexandria
Functional: GGA-PBE
Structure: relaxed

Calculated values
Formation energy without anion corrections (eV per formula unit): -7.8
E above lowest polymorph (meV/atom): 0.0

Cell lengths 6.949, 6.949, 9.996 Å; angles 110.04, 110.04, 67.94 degrees
Positions (direct):
Na 0.015 0.985 0.750
Na 0.985 0.015 0.250
Sn 0.500 0.500 0.000
Sn 0.500 0.500 0.500
Cl 0.131 0.705 0.014
Cl 0.181 0.394 0.370
Cl 0.295 0.869 0.486
Cl 0.387 0.613 0.750
Cl 0.394 0.181 0.870
Cl 0.606 0.819 0.130
Cl 0.613 0.387 0.250
Cl 0.705 0.131 0.514
Cl 0.819 0.606 0.630
Cl 0.869 0.295 0.986

Entry 18:
Compound: Na2Sn3Cl8
Source: Alexandria
Functional: GGA-PBE
Structure: relaxed

Calculated values
Formation energy without anion corrections (eV per formula unit): -15.9

Cell lengths 8.008, 8.008, 7.323 Å; angles 98.29, 98.29, 62.31 degrees
Positions (direct):
Na 0.213 0.213 0.076
Na 0.787 0.787 0.924
Sn 0.246 0.754 0.500
Sn 0.500 0.500 0.000
Sn 0.754 0.246 0.500
Cl 0.110 0.110 0.371
Cl 0.141 0.606 0.140
Cl 0.382 0.382 0.640
Cl 0.394 0.859 0.860
Cl 0.606 0.141 0.140
Cl 0.618 0.618 0.360
Cl 0.859 0.394 0.860
Cl 0.890 0.890 0.629

Entry 19:
Compound: Na2Sn2Cl7
Source: Alexandria
Functional: GGA-PBE
Structure: relaxed

Calculated values
Formation energy without anion corrections (eV per formula unit): -13.3
E above lowest polymorph (meV/atom): 0.0

Cell lengths 7.363, 7.363, 6.969 Å; angles 106.68, 106.68, 85.46 degrees
Positions (direct):
Na 0.000 0.000 0.000
Na 0.589 0.589 0.640
Sn 0.012 0.542 0.298
Sn 0.542 0.012 0.298
Cl 0.294 0.774 0.336
Cl 0.309 0.309 0.450
Cl 0.350 0.982 0.930
Cl 0.762 0.762 0.078
Cl 0.774 0.294 0.336
Cl 0.826 0.826 0.590
Cl 0.982 0.350 0.930

Entry 20:
Compound: NaSnCl5
Source: Alexandria
Functional: GGA-PBE
Structure: relaxed

Calculated values
Formation energy without anion corrections (eV per formula unit): -7.6
E above lowest polymorph (meV/atom): 37.2

Cell lengths 8.078, 8.078, 9.441 Å; angles 107.80, 107.80, 100.70 degrees
Positions (direct):
Na 0.000 0.000 0.000
Na 0.000 0.000 0.500
Sn 0.353 0.647 0.750
Sn 0.647 0.353 0.250
Cl 0.080 0.920 0.250
Cl 0.141 0.647 0.869
Cl 0.279 0.359 0.549
Cl 0.353 0.859 0.631
Cl 0.359 0.279 0.049
Cl 0.641 0.721 0.951
Cl 0.647 0.141 0.369
Cl 0.721 0.641 0.451
Cl 0.859 0.353 0.131
Cl 0.920 0.080 0.750

Number 1: total magnetic moment 0.00 μB/f.u.. Number 2: total magnetic moment 0.00 μB/f.u.. Number 3: total magnetic moment 0.00 μB/f.u.. Number 4: total magnetic moment 0.00 μB/f.u.. Number 5: total magnetic moment 0.00 μB/f.u.. Number 6: total magnetic moment 0.00 μB/f.u.. Number 7: total magnetic moment 0.00 μB/f.u.. Number 8: total magnetic moment 1.41 μB/f.u.. Number 9: total magnetic moment 0.00 μB/f.u.. Number 10: total magnetic moment 0.00 μB/f.u.. Number 11: total magnetic moment 0.00 μB/f.u.. Number 12: total magnetic moment 0.00 μB/f.u.. Number 13: total magnetic moment 1.05 μB/f.u.. Number 14: total magnetic moment 0.00 μB/f.u.. Number 15: total magnetic moment 0.00 μB/f.u.. Number 16: total magnetic moment 0.00 μB/f.u.. Number 17: total magnetic moment 0.00 μB/f.u.. Number 18: total magnetic moment 0.00 μB/f.u.. Number 19: total magnetic moment 0.00 μB/f.u.. Number 20: total magnetic moment 0.12 μB/f.u..